# Cd2NiH | the Alexandria database | PBE | relaxed
# SG: C2/c, No. 15
# Total magnetic moment in Bohr magnetons per cell: 0.0
data_Cd2NiH
_cell_length_a 4.756
_cell_length_b 4.756
_cell_length_c 8.930
_cell_angle_alpha 113.72
_cell_angle_beta 113.72
_cell_angle_gamma 40.46
_space_group_name_H-M_alt 'P 1'
_space_group_IT_number 1
loop_
_space_group_symop_operation_xyz
'x,y,z'
loop_
_atom_site_label
_atom_site_type_symbol
_atom_site_fract_x
_atom_site_fract_y
_atom_site_fract_z
Cd1 Cd 0.097 0.597 0.903
Cd2 Cd 0.403 0.903 0.597
Cd3 Cd 0.597 0.097 0.403
Cd4 Cd 0.903 0.403 0.097
Ni1 Ni 0.249 0.751 0.250
Ni2 Ni 0.751 0.249 0.750
H1 H 0.251 0.749 0.750
H2 H 0.749 0.251 0.250

# CdNi2H | the Alexandria database | PBE | relaxed
# SG: P4/mmm, No. 123
# Total magnetic moment in Bohr magnetons per cell: 0.0
data_CdNi2H
_cell_length_a 2.651
_cell_length_b 2.651
_cell_length_c 6.422
_cell_angle_alpha 90.00
_cell_angle_beta 90.00
_cell_angle_gamma 90.00
_space_group_name_H-M_alt 'P 1'
_space_group_IT_number 1
loop_
_space_group_symop_operation_xyz
'x,y,z'
loop_
_atom_site_label
_atom_site_type_symbol
_atom_site_fract_x
_atom_site_fract_y
_atom_site_fract_z
Cd1 Cd 0.000 0.000 0.000
Ni1 Ni 0.500 0.500 0.321
Ni2 Ni 0.500 0.500 0.679
H1 H 0.000 0.000 0.500

Calculated values (meV per atom) of ΔE to the lowest computed polymorph for the records, taken in order: 0; 356.